VASP calculation (GGA-PBEsol) on an optimized crystal structure of Cd3ReRu.

Values from the calculation:
The value obtained for the size of the total moment is 4.22 μB/f.u. The uncorrected energy comes out at -16.93 eV/f.u. The formation energy is 196 kJ per mole of atoms.

a b c (Å): 5.065 5.065 5.065
angles (deg): 90.00 90.00 90.00
Space group Pm-3m (No. 221)
Unique sites:
Cd (0.000, 0.000, 0.500) x3
Re (0.000, 0.000, 0.000) x1
Ru (0.500, 0.500, 0.500) x1